# Sm5TeSe4, optimized geometry, DFT GGA-PBE
# - DFT total energy (eV/cell) = -115.40
# - DOS(E_F) (states/eV/cell) = 8.7
# - raw formation energy (meV per atom) = -1702
data_Sm5TeSe4
_cell_length_a 4.2318
_cell_length_b 4.2318
_cell_length_c 29.9527
_cell_angle_alpha 90.00
_cell_angle_beta 90.00
_cell_angle_gamma 90.00
_symmetry_space_group_name_H-M 'I 4/m m m'
_symmetry_Int_Tables_number 139
_symmetry_space_group_name_Hall '-I 4 2'
loop_
_atom_site_label
_atom_site_fract_x
_atom_site_fract_y
_atom_site_fract_z
Sm1 0.0000 0.0000 0.0000
Sm2 0.0000 0.0000 0.1973
Sm3 0.0000 0.0000 0.3947
Te1 0.0000 0.0000 0.5000
Se1 0.0000 0.0000 0.0996
Se2 0.0000 0.0000 0.2968